No. 1
Crystalline CuSnSN2 at its relaxed geometry, computed with PBE-GGA.

Cell: 3.9374 3.9374 4.9148 Å, 90.00 90.00 90.00°
Last column: nearest neighbours and their distance in Å.
Positions (direct):
Cu  0.0000  0.0000  0.0000  4 N 1.97
Sn  0.5000  0.5000  0.5000  4 S 2.78
S  0.0000  0.0000  0.5000  2 Cu 2.46
N  0.0000  0.5000  0.0000  2 Cu 1.97
N  0.5000  0.0000  0.0000  2 Cu 1.97

Calculated values
- Relative energy among the computed polymorphs: 0.0 kJ/mol of atoms
- SG: P4/mmm, No. 123
- Uncorrected formation energy: 1.245 eV/atom
- Electronic total energy: -4.530 eV per atom

No. 2
Crystalline CuSnSN2 at its relaxed geometry, computed with PBE-GGA.

Cell: 4.0856 4.0856 5.3140 Å, 90.00 90.00 90.00°
Last column: nearest neighbours and their distance in Å.
Positions (direct):
Cu  0.0000  0.0000  0.0000  4 S 2.89
Sn  0.5000  0.5000  0.5000  4 N 2.04
S  0.5000  0.5000  0.0000  2 Sn 2.66, 4 Cu 2.89
N  0.0000  0.5000  0.5000  2 Sn 2.04
N  0.5000  0.0000  0.5000  2 Sn 2.04

Calculated values
- Relative energy among the computed polymorphs: 17.5 kJ/mol of atoms
- SG: P4/mmm, No. 123
- Uncorrected formation energy: 1.427 eV/atom
- Electronic total energy: -4.349 eV per atom

No. 3
Crystalline Sr2CuSN at its relaxed geometry, computed with PBE-GGA.

Cell: 5.2503 5.2503 3.7555 Å, 90.00 90.00 90.00°
Last column: nearest neighbours and their distance in Å.
Positions (direct):
Sr  0.0000  0.5000  0.0000  2 N 2.63
Sr  0.5000  0.0000  0.0000  2 N 2.63
Cu  0.0000  0.0000  0.5000  2 N 1.88
S  0.5000  0.5000  0.5000  8 Sr 3.23
N  0.0000  0.0000  0.0000  2 Cu 1.88

Calculated values
- SG: P4/mmm, No. 123
- Uncorrected formation energy: -1.006 eV/atom
- Electronic total energy: -4.988 eV per atom